The following is a DFT calculation (PBE+U) of crystalline CuWN2O at its relaxed geometry.

Cell: 3.987 3.987 3.877 Å, 90.00 90.00 90.00°
Space group P4/mmm (No. 123)
One atom of each set of equivalent atoms:
Cu 0.000 0.000 0.000 (multiplicity 1)
W 0.500 0.500 0.500 (multiplicity 1)
N 0.000 0.500 0.500 (multiplicity 2)
O 0.500 0.500 0.000 (multiplicity 1)

## Properties
Energy, eV/cell: -31.92
ρ, g/cm³: 7.8
Total magnetization, μB per cell: 0.0